NaV6O8 | PBE with a Hubbard U | optimized geometry

The structure belongs to space group R-3 (No. 148, hexagonal axes); the cell edges are 8.7888, 8.7888 and 9.1372 Å and the angles 90.00°, 90.00° and 120.00°. The inequivalent atoms are Na at (0.0000, 0.0000, 0.0000), V at (0.0063, 0.8162, 0.6291), O at (0.0000, 0.0000, 0.2412) and O at (0.0024, 0.2663, 0.5920).

The value obtained for the calculated volume is 611 Å³ per cell. The calculation puts the density of states at the Fermi level at 2.39 states/eV/f.u. The total energy comes out at -330.51 eV/cell. As for the total moment: 39.00 μB/cell.